First-principles (PBE) data for AcSm3Ag2 after structural relaxation, as listed in Alexandria.

Unit cell a=3.7421 b=3.7421 c=12.8442 alpha=90.00 beta=90.00 gamma=90.00
Element x y z (fractional)
Ag (0.5000, 0.5000, 0.1434)
Ag (0.5000, 0.5000, 0.8566)
Ac (0.5000, 0.5000, 0.5000)
Sm (0.0000, 0.0000, 0.2856)
Sm (0.0000, 0.0000, 0.0000)
Sm (0.0000, 0.0000, 0.7144)

Output
**Density**: 8.25 g/cm3
**SG**: No. 123
**E_tot**: -4.154 eV per atom
**Crystal system**: tetragonal